Entry 1:
## Rb2MoAsBr6 (PBE)

Data for a relaxed Rb2MoAsBr6 crystal.

Summary:
Formation energy without anion corrections = -0.75 eV per atom
Total magnetic moment = 3.718 μB/f.u.
V = 343.61 Å³/cell
Crystal system = tetragonal
N(E_F) = 6.53 states/eV/f.u.

POSCAR file:
```
Rb2MoAsBr6
1.0
-5.529 -3.192 -4.126
3.021 -6.861 1.259
-4.581 -5.593 3.463
Br Rb As Mo
6 2 1 1
Cartesian
-3.111 -5.342 1.299 Br
-1.886 -7.559 -2.156 Br
-3.408 -4.102 -2.790 Br
-0.622 -2.494 -0.711 Br
-3.979 -10.303 -0.703 Br
0.900 -5.951 -0.077 Br
-1.407 -8.740 1.644 Rb
-5.682 -6.905 -1.049 Rb
-1.254 -5.026 -1.433 As
0.000 0.000 0.000 Mo
```

Entry 2:
## TiCr3Re (PBE)

Data for a relaxed TiCr3Re crystal.

Summary:
Total magnetic moment = 5.339 μB/f.u.
V = 95.75 Å³/cell
Crystal system = cubic
N(E_F) = 3.73 states/eV/f.u.
VASP energy = -8.53 eV per atom

POSCAR file:
```
TiCr3Re
1.0
4.575 0.000 0.000
0.000 4.575 0.000
0.000 0.000 4.575
Re Cr Ti
1 3 1
Cartesian
0.000 0.000 0.000 Re
0.000 0.000 2.287 Cr
2.287 0.000 0.000 Cr
0.000 2.287 0.000 Cr
2.287 2.287 2.287 Ti
```

Entry 3:
## AcNbPt (PBE)

Data for a relaxed AcNbPt crystal.

Summary:
Total magnetic moment = 0.000 μB/f.u.
V = 147.87 Å³/cell
Crystal system = orthorhombic
N(E_F) = 3.76 states/eV/f.u.
VASP energy = -6.98 eV per atom

POSCAR file:
```
AcNbPt
1.0
5.217 0.000 0.000
-2.608 2.619 0.000
0.000 0.000 10.822
Nb Pt Ac
2 2 2
Cartesian
0.000 1.018 1.174 Nb
0.000 1.018 9.648 Nb
2.608 1.017 0.000 Pt
0.000 1.020 5.411 Pt
2.608 1.019 3.545 Ac
2.608 1.019 7.277 Ac
```

Entry 4:
## PmSm2MoN4 (PBE)

Data for a relaxed PmSm2MoN4 crystal.

Summary:
Formation energy without anion corrections = -1.02 eV per atom
Total magnetic moment = 0.000 μB/f.u.
V = 251.93 Å³/cell
Crystal system = orthorhombic
N(E_F) = 2.44 states/eV/f.u.

POSCAR file:
```
PmSm2MoN4
1.0
-1.017 3.302 0.391
-2.765 -3.220 4.545
9.508 2.068 7.249
Pm N Sm Mo
2 8 4 2
Cartesian
-0.770 0.903 5.830 Pm
6.497 1.247 6.355 Pm
1.475 1.979 2.578 N
3.944 2.219 6.972 N
4.754 1.034 3.624 N
4.252 0.171 9.607 N
1.783 -0.069 5.214 N
0.000 0.000 0.000 N
-0.516 -0.569 3.461 N
6.243 2.719 8.724 N
2.716 -0.042 7.412 Sm
6.714 0.828 10.461 Sm
3.011 2.192 4.773 Sm
-0.987 1.323 1.725 Sm
1.311 0.006 3.356 Mo
4.416 2.145 8.829 Mo
```

Entry 5:
## TbHoNp2P4 (PBE)

Data for a relaxed TbHoNp2P4 crystal.

Summary:
Total magnetic moment = 7.305 μB/f.u.
V = 178.02 Å³/cell
Crystal system = monoclinic
N(E_F) = 16.88 states/eV/f.u.
VASP energy = -8.33 eV per atom

POSCAR file:
```
TbHoNp2P4
1.0
3.977 0.000 0.000
0.000 6.888 0.119
0.000 -2.408 6.458
P Tb Ho Np
4 1 1 2
Cartesian
0.000 4.554 1.744 P
1.988 1.128 1.691 P
0.000 -0.075 4.834 P
1.988 3.352 4.887 P
0.000 0.000 0.000 Tb
1.988 3.444 0.060 Ho
1.988 -1.204 3.229 Np
0.000 2.240 3.289 Np
```

Entry 6:
## NaLaAl2 (PBE)

Data for a relaxed NaLaAl2 crystal.

Summary:
Total magnetic moment = 0.000 μB/f.u.
V = 231.14 Å³/cell
Excess energy over the best structure of this formula in the dataset = 382 meV/atom
Crystal system = tetragonal
N(E_F) = 3.16 states/eV/f.u.

POSCAR file:
```
NaLaAl2
1.0
4.826 0.000 0.000
0.000 4.826 0.000
2.413 2.413 9.923
Al Na La
4 2 2
Cartesian
3.003 1.207 2.481 Al
1.823 3.620 2.481 Al
3.620 4.237 7.442 Al
6.033 5.416 7.442 Al
2.413 4.826 4.962 Na
2.413 2.413 0.000 Na
4.826 2.413 4.962 La
0.000 0.000 0.000 La
```